An optimized crystal structure of OsCSN2, computed with GGA-PBEsol.

abc: 3.494 3.494 3.693
angles: 90.00 90.00 90.00
Fractional coordinates of all 5 atoms:
C (0.000, 0.000, 0.000)
Os (0.500, 0.500, 0.500)
N (0.500, 0.000, 0.000)
S (0.000, 0.000, 0.500)
N (0.000, 0.500, 0.000)

Values from the calculation:
Formation energy from raw total energies, meV per atom: 2095
Symmetry: P4/mmm

---

An optimized crystal structure of BaCuPb2, computed with GGA-PBEsol.

abc: 4.480 5.279 5.281
angles: 107.30 90.00 90.00
Fractional coordinates of all 4 atoms:
Ba (0.500, 0.000, 0.500)
Cu (0.500, 0.500, 0.000)
Pb (0.000, 0.680, 0.820)
Pb (0.000, 0.320, 0.180)

Values from the calculation:
Uncorrected energy, eV per cell: -15.42
Symmetry: Cmmm

---

An optimized crystal structure of La6Ni20As13, computed with GGA-PBEsol.

abc: 3.975 13.096 13.096
angles: 120.00 90.00 90.00
Fractional coordinates of all 39 atoms:
As (0.500, 0.869, 0.384)
La (0.500, 0.279, 0.815)
Ni (0.500, 0.764, 0.693)
As (0.000, 0.042, 0.273)
As (0.500, 0.268, 0.233)
Ni (0.000, 0.976, 0.412)
La (0.500, 0.536, 0.721)
As (0.500, 0.767, 0.035)
As (0.500, 0.616, 0.485)
As (0.000, 0.231, 0.958)
Ni (0.500, 0.929, 0.236)
As (0.000, 0.727, 0.769)
Ni (0.000, 0.887, 0.084)
Ni (0.000, 0.588, 0.564)
La (0.000, 0.467, 0.284)
As (0.000, 0.389, 0.522)
As (0.000, 0.133, 0.611)
Ni (0.000, 0.077, 0.756)
Ni (0.500, 0.307, 0.071)
Ni (0.500, 0.080, 0.941)
Ni (0.000, 0.916, 0.804)
Ni (0.000, 0.244, 0.321)
As (0.500, 0.965, 0.732)
As (0.500, 0.515, 0.131)
As (0.000, 0.000, 0.000)
Ni (0.500, 0.861, 0.920)
La (0.500, 0.185, 0.464)
Ni (0.500, 0.667, 0.333)
Ni (0.500, 0.564, 0.975)
Ni (0.000, 0.333, 0.667)
Ni (0.500, 0.025, 0.589)
Ni (0.000, 0.436, 0.024)
Ni (0.000, 0.196, 0.113)
La (0.000, 0.817, 0.533)
La (0.000, 0.716, 0.183)
Ni (0.000, 0.679, 0.923)
Ni (0.500, 0.059, 0.139)
As (0.000, 0.478, 0.867)
Ni (0.500, 0.411, 0.436)

Values from the calculation:
Uncorrected energy, eV per cell: -250.05
Symmetry: P-6

---

An optimized crystal structure of Li2Zn2In, computed with GGA-PBEsol.

abc: 3.281 7.074 7.074
angles: 90.00 90.00 90.00
Fractional coordinates of all 10 atoms:
Li (0.500, 0.668, 0.832)
Li (0.500, 0.332, 0.168)
In (0.000, 0.500, 0.500)
Zn (0.000, 0.125, 0.375)
Zn (0.000, 0.875, 0.625)
In (0.000, 0.000, 0.000)
Zn (0.000, 0.625, 0.125)
Li (0.500, 0.832, 0.332)
Zn (0.000, 0.375, 0.875)
Li (0.500, 0.168, 0.668)

Values from the calculation:
Uncorrected energy, eV per cell: -21.81
Symmetry: P4/mbm

---

An optimized crystal structure of MgCdNi2, computed with GGA-PBEsol.

abc: 2.967 4.305 5.136
angles: 114.78 106.79 90.00
Fractional coordinates of all 4 atoms:
Cd (0.486, 0.486, 0.972)
Mg (0.264, 0.764, 0.528)
Ni (0.733, 0.233, 0.465)
Ni (0.017, 0.017, 0.035)

Values from the calculation:
Uncorrected energy, eV per cell: -15.29
Symmetry: Imm2

---

An optimized crystal structure of CdSi2Se, computed with GGA-PBEsol.

abc: 4.695 4.695 4.695
angles: 60.00 60.00 60.00
Fractional coordinates of all 4 atoms:
Si (0.750, 0.750, 0.750)
Se (0.250, 0.250, 0.250)
Cd (0.500, 0.500, 0.500)
Si (0.000, 0.000, 0.000)

Values from the calculation:
Formation energy from raw total energies, meV per atom: 452
Excess energy over the best structure of this formula in the dataset, meV per atom: 131.2
Symmetry: F-43m

---

The records above yield density of states at the Fermi level values of 2.00, 1.39, 29.92, 2.31, 2.93, 1.96 states/eV/cell, respectively.